Entry 1:
This record from OQMD via LeMat-Bulk describes a relaxed structure of RbNi3. The functional is PBE.

The calculation puts the energy above the lowest structure with this stoichiometry at 0.00 kcal/mol of atoms. The calculation puts the total magnetization at 2.0 μB per formula unit.

Unit cell a=7.018 b=7.018 c=4.054 alpha=90.00 beta=90.00 gamma=120.00
Element x y z (fractional)
Rb: 0.333 0.667 0.250
Rb: 0.667 0.333 0.750
Ni: 0.110 0.220 0.750
Ni: 0.110 0.890 0.750
Ni: 0.220 0.110 0.250
Ni: 0.780 0.890 0.750
Ni: 0.890 0.110 0.250
Ni: 0.890 0.780 0.250

---

Entry 2:
This record from OQMD via LeMat-Bulk describes a relaxed structure of RbNi. The functional is PBE.

As for the energy: -2.012 eV per atom. The calculation puts the total magnetization at 1.0 μB per formula unit.

Unit cell a=5.041 b=5.041 c=5.041 alpha=60.00 beta=60.00 gamma=60.00
Element x y z (fractional)
Rb: 0.000 0.000 0.000
Ni: 0.500 0.500 0.500

---

Entry 3:
This record from OQMD via LeMat-Bulk describes a relaxed structure of RbNi8. The functional is PBE.

As for the energy: -4.525 eV per atom. The calculation puts the total magnetization at 4.8 μB per formula unit.

Unit cell a=11.839 b=11.583 c=4.850 alpha=81.02 beta=75.11 gamma=23.87
Element x y z (fractional)
Rb: 0.125 0.125 0.125
Rb: 0.875 0.875 0.875
Ni: 0.095 0.559 0.383
Ni: 0.179 0.325 0.769
Ni: 0.227 0.769 0.325
Ni: 0.231 0.773 0.821
Ni: 0.325 0.179 0.227
Ni: 0.383 0.462 0.095
Ni: 0.441 0.905 0.538
Ni: 0.462 0.383 0.559
Ni: 0.538 0.617 0.441
Ni: 0.559 0.095 0.462
Ni: 0.617 0.538 0.905
Ni: 0.675 0.821 0.773
Ni: 0.769 0.227 0.179
Ni: 0.773 0.231 0.675
Ni: 0.821 0.675 0.231
Ni: 0.905 0.441 0.617

---

Entry 4:
This record from OQMD via LeMat-Bulk describes a relaxed structure of RbNi. The functional is PBE.

As for the energy: -2.607 eV per atom. The calculation puts the total magnetization at 0.4 μB per formula unit.

Unit cell a=4.212 b=4.650 c=6.916 alpha=90.00 beta=90.00 gamma=90.00
Element x y z (fractional)
Rb: 0.250 0.000 0.236
Rb: 0.750 0.000 0.764
Ni: 0.250 0.500 0.556
Ni: 0.750 0.500 0.444

---

Entry 5:
This record from OQMD via LeMat-Bulk describes a relaxed structure of Rb2Ni. The functional is PBE.

The calculation puts the energy above the lowest structure with this stoichiometry at 11.31 kcal/mol of atoms. The calculation puts the total magnetization at 0.8 μB per formula unit.

Unit cell a=7.057 b=7.057 c=7.057 alpha=60.00 beta=60.00 gamma=60.00
Element x y z (fractional)
Rb: 0.000 0.000 0.000
Rb: 0.000 0.000 0.500
Rb: 0.000 0.500 0.000
Rb: 0.500 0.000 0.000
Ni: 0.375 0.375 0.375
Ni: 0.625 0.625 0.625

---

Entry 6:
This record from OQMD via LeMat-Bulk describes a relaxed structure of RbNiSeS2. The functional is PBE.

As for the energy: -4.111 eV per atom. The calculation puts the total magnetization at 0.0 μB per formula unit.

Unit cell a=6.311 b=6.963 c=7.231 alpha=99.21 beta=108.43 gamma=112.67
Element x y z (fractional)
Rb: 0.210 0.350 0.167
Rb: 0.790 0.650 0.833
Ni: 0.240 0.949 0.522
Ni: 0.760 0.051 0.478
Se: 0.212 0.633 0.614
Se: 0.788 0.367 0.386
S: 0.166 0.203 0.672
S: 0.359 0.913 0.265
S: 0.641 0.087 0.735
S: 0.834 0.797 0.328

---

Entry 7:
This record from OQMD via LeMat-Bulk describes a relaxed structure of RbSmNiS3. The functional is PBE.

The calculation puts the energy above the lowest structure with this stoichiometry at 0.00 kcal/mol of atoms. The calculation puts the total magnetization at 2.0 μB per formula unit.

Unit cell a=7.563 b=7.563 c=10.689 alpha=90.00 beta=90.00 gamma=149.15
Element x y z (fractional)
Rb: 0.242 0.758 0.750
Rb: 0.758 0.242 0.250
Sm: 0.500 0.500 0.000
Sm: 0.500 0.500 0.500
Ni: 0.031 0.969 0.250
Ni: 0.969 0.031 0.750
S: 0.120 0.880 0.076
S: 0.120 0.880 0.424
S: 0.449 0.551 0.250
S: 0.551 0.449 0.750
S: 0.880 0.120 0.576
S: 0.880 0.120 0.924

---

Entry 8:
This record from OQMD via LeMat-Bulk describes a relaxed structure of RbSmNiS3. The functional is PBE.

The calculation puts the energy above the lowest structure with this stoichiometry at 0.33 kcal/mol of atoms. The calculation puts the total magnetization at 0.3 μB per formula unit.

Unit cell a=11.102 b=4.175 c=12.115 alpha=90.00 beta=90.00 gamma=90.00
Element x y z (fractional)
Rb: 0.164 0.250 0.009
Rb: 0.336 0.750 0.509
Rb: 0.664 0.250 0.491
Rb: 0.836 0.750 0.991
Sm: 0.012 0.250 0.661
Sm: 0.488 0.750 0.161
Sm: 0.512 0.250 0.839
Sm: 0.988 0.750 0.339
Ni: 0.243 0.250 0.294
Ni: 0.257 0.750 0.794
Ni: 0.743 0.250 0.206
Ni: 0.757 0.750 0.706
S: 0.056 0.750 0.810
S: 0.116 0.250 0.445
S: 0.226 0.750 0.231
S: 0.274 0.250 0.731
S: 0.384 0.750 0.945
S: 0.444 0.250 0.310
S: 0.556 0.750 0.690
S: 0.616 0.250 0.055
S: 0.726 0.750 0.269
S: 0.774 0.250 0.769
S: 0.884 0.750 0.555
S: 0.944 0.250 0.190

---

Entry 9:
This record from OQMD via LeMat-Bulk describes a relaxed structure of RbNiSnS3. The functional is PBE.

As for the energy: -4.373 eV per atom. The calculation puts the total magnetization at 1.4 μB per formula unit.

Unit cell a=7.290 b=7.290 c=10.748 alpha=90.00 beta=90.00 gamma=148.83
Element x y z (fractional)
Rb: 0.223 0.777 0.750
Rb: 0.777 0.223 0.250
Ni: 0.065 0.935 0.250
Ni: 0.935 0.065 0.750
Sn: 0.500 0.500 0.000
Sn: 0.500 0.500 0.500
S: 0.123 0.877 0.056
S: 0.123 0.877 0.444
S: 0.480 0.520 0.250
S: 0.520 0.480 0.750
S: 0.877 0.123 0.556
S: 0.877 0.123 0.944

---

Entry 10:
This record from OQMD via LeMat-Bulk describes a relaxed structure of RbTaNiS5. The functional is PBE.

As for the energy: -5.501 eV per atom. The calculation puts the total magnetization at 0.1 μB per formula unit.

Unit cell a=6.789 b=6.792 c=9.508 alpha=69.11 beta=77.40 gamma=74.59
Element x y z (fractional)
Rb: 0.104 0.354 0.319
Rb: 0.896 0.646 0.681
Ta: 0.254 0.997 0.002
Ta: 0.746 0.003 0.998
Ni: 0.468 0.690 0.402
Ni: 0.532 0.310 0.598
S: 0.078 0.770 0.948
S: 0.205 0.854 0.284
S: 0.301 0.125 0.720
S: 0.419 0.607 0.644
S: 0.428 0.270 0.990
S: 0.572 0.730 0.010
S: 0.581 0.393 0.356
S: 0.699 0.875 0.280
S: 0.795 0.146 0.716
S: 0.922 0.230 0.052

---

Entry 11:
This record from OQMD via LeMat-Bulk describes a relaxed structure of Rb2NiTe2S. The functional is PBE.

As for the energy: -3.605 eV per atom. The calculation puts the total magnetization at 0.0 μB per formula unit.

Unit cell a=7.203 b=7.289 c=9.139 alpha=107.30 beta=100.49 gamma=111.15
Element x y z (fractional)
Rb: 0.045 0.278 0.141
Rb: 0.312 0.296 0.680
Rb: 0.688 0.704 0.320
Rb: 0.955 0.722 0.859
Ni: 0.490 0.953 0.840
Ni: 0.510 0.047 0.160
Te: 0.219 0.709 0.546
Te: 0.239 0.879 0.285
Te: 0.761 0.121 0.715
Te: 0.781 0.291 0.454
S: 0.422 0.191 0.005
S: 0.578 0.809 0.995

---

Entry 12:
This record from OQMD via LeMat-Bulk describes a relaxed structure of RbZnNiS3. The functional is PBE.

As for the energy: -3.927 eV per atom. The calculation puts the total magnetization at 0.0 μB per formula unit.

Unit cell a=7.404 b=7.404 c=10.099 alpha=90.00 beta=90.00 gamma=151.55
Element x y z (fractional)
Rb: 0.246 0.754 0.750
Rb: 0.754 0.246 0.250
Zn: 0.037 0.963 0.250
Zn: 0.963 0.037 0.750
Ni: 0.500 0.500 0.000
Ni: 0.500 0.500 0.500
S: 0.099 0.901 0.038
S: 0.099 0.901 0.462
S: 0.441 0.559 0.250
S: 0.559 0.441 0.750
S: 0.901 0.099 0.538
S: 0.901 0.099 0.962

---

Entry 13:
This record from OQMD via LeMat-Bulk describes a relaxed structure of Rb6NiSb3. The functional is PBE.

As for the energy: -2.632 eV per atom. The calculation puts the total magnetization at 0.9 μB per formula unit.

Unit cell a=10.651 b=6.254 c=12.363 alpha=90.00 beta=102.66 gamma=90.00
Element x y z (fractional)
Rb: 0.045 0.250 0.082
Rb: 0.056 0.250 0.446
Rb: 0.252 0.750 0.782
Rb: 0.363 0.250 0.318
Rb: 0.367 0.250 0.977
Rb: 0.409 0.250 0.636
Rb: 0.591 0.750 0.364
Rb: 0.633 0.750 0.023
Rb: 0.637 0.750 0.682
Rb: 0.748 0.250 0.218
Rb: 0.944 0.750 0.554
Rb: 0.955 0.750 0.918
Ni: 0.182 0.750 0.274
Ni: 0.818 0.250 0.726
Sb: 0.056 0.250 0.761
Sb: 0.281 0.750 0.475
Sb: 0.311 0.750 0.125
Sb: 0.689 0.250 0.875
Sb: 0.719 0.250 0.525
Sb: 0.944 0.750 0.239

---

Entry 14:
This record from OQMD via LeMat-Bulk describes a relaxed structure of RbNi3Sb5. The functional is PBE.

The calculation puts the energy above the lowest structure with this stoichiometry at 0.00 kcal/mol of atoms. The calculation puts the total magnetization at 0.0 μB per formula unit.

Unit cell a=5.403 b=5.403 c=9.219 alpha=90.00 beta=90.00 gamma=120.00
Element x y z (fractional)
Rb: 0.000 0.000 0.000
Ni: 0.000 0.500 0.500
Ni: 0.500 0.000 0.500
Ni: 0.500 0.500 0.500
Sb: 0.000 0.000 0.500
Sb: 0.333 0.667 0.270
Sb: 0.333 0.667 0.730
Sb: 0.667 0.333 0.270
Sb: 0.667 0.333 0.730

---

Entry 15:
This record from OQMD via LeMat-Bulk describes a relaxed structure of RbNiSbSe3. The functional is PBE.

As for the energy: -3.962 eV per atom. The calculation puts the total magnetization at 1.9 μB per formula unit.

Unit cell a=7.669 b=7.669 c=11.109 alpha=90.00 beta=90.00 gamma=148.56
Element x y z (fractional)
Rb: 0.238 0.762 0.750
Rb: 0.762 0.238 0.250
Ni: 0.044 0.956 0.250
Ni: 0.956 0.044 0.750
Sb: 0.500 0.500 0.000
Sb: 0.500 0.500 0.500
Se: 0.125 0.875 0.062
Se: 0.125 0.875 0.438
Se: 0.460 0.540 0.250
Se: 0.540 0.460 0.750
Se: 0.875 0.125 0.562
Se: 0.875 0.125 0.938

---

Entry 16:
This record from OQMD via LeMat-Bulk describes a relaxed structure of RbNiSbTe3. The functional is PBE.

As for the energy: -3.664 eV per atom. The calculation puts the total magnetization at 0.0 μB per formula unit.

Unit cell a=7.509 b=7.509 c=12.323 alpha=90.00 beta=90.00 gamma=144.88
Element x y z (fractional)
Rb: 0.217 0.783 0.750
Rb: 0.783 0.217 0.250
Ni: 0.082 0.918 0.250
Ni: 0.918 0.082 0.750
Sb: 0.500 0.500 0.000
Sb: 0.500 0.500 0.500
Te: 0.137 0.863 0.055
Te: 0.137 0.863 0.445
Te: 0.494 0.506 0.750
Te: 0.506 0.494 0.250
Te: 0.863 0.137 0.555
Te: 0.863 0.137 0.945

---

Entry 17:
This record from OQMD via LeMat-Bulk describes a relaxed structure of RbScNi. The functional is PBE.

The calculation puts the energy above the lowest structure with this stoichiometry at 0.00 kcal/mol of atoms. The calculation puts the total magnetization at 0.0 μB per formula unit.

Unit cell a=4.875 b=4.875 c=4.875 alpha=60.00 beta=60.00 gamma=60.00
Element x y z (fractional)
Rb: 0.000 0.000 0.000
Sc: 0.500 0.500 0.500
Ni: 0.250 0.250 0.250

---

Entry 18:
This record from OQMD via LeMat-Bulk describes a relaxed structure of RbScNi. The functional is PBE.

The calculation puts the energy above the lowest structure with this stoichiometry at 16.40 kcal/mol of atoms. The calculation puts the total magnetization at 0.1 μB per formula unit.

Unit cell a=4.771 b=4.771 c=4.771 alpha=60.00 beta=60.00 gamma=60.00
Element x y z (fractional)
Rb: 0.000 0.000 0.000
Sc: 0.250 0.250 0.250
Ni: 0.750 0.750 0.750

---

Entry 19:
This record from OQMD via LeMat-Bulk describes a relaxed structure of RbScNiTe3. The functional is PBE.

As for the energy: -4.559 eV per atom. The calculation puts the total magnetization at 0.0 μB per formula unit.

Unit cell a=10.195 b=4.117 c=17.639 alpha=90.00 beta=90.00 gamma=90.00
Element x y z (fractional)
Rb: 0.248 0.250 0.002
Rb: 0.252 0.750 0.502
Rb: 0.748 0.250 0.498
Rb: 0.752 0.750 0.998
Sc: 0.001 0.750 0.250
Sc: 0.499 0.250 0.750
Sc: 0.501 0.750 0.250
Sc: 0.999 0.250 0.750
Ni: 0.250 0.250 0.260
Ni: 0.250 0.750 0.760
Ni: 0.750 0.250 0.240
Ni: 0.750 0.750 0.740
Te: 0.075 0.750 0.860
Te: 0.077 0.250 0.361
Te: 0.250 0.250 0.672
Te: 0.250 0.750 0.172
Te: 0.423 0.750 0.861
Te: 0.425 0.250 0.360
Te: 0.575 0.750 0.640
Te: 0.577 0.250 0.139
Te: 0.750 0.250 0.828
Te: 0.750 0.750 0.328
Te: 0.923 0.750 0.639
Te: 0.925 0.250 0.140

---

Entry 20:
This record from OQMD via LeMat-Bulk describes a relaxed structure of RbScNiTe3. The functional is PBE.

As for the energy: -4.560 eV per atom. The calculation puts the total magnetization at 0.0 μB per formula unit.

Unit cell a=9.077 b=9.077 c=10.180 alpha=90.00 beta=90.00 gamma=153.75
Element x y z (fractional)
Rb: 0.248 0.752 0.750
Rb: 0.752 0.248 0.250
Sc: 0.500 0.500 0.000
Sc: 0.500 0.500 0.500
Ni: 0.008 0.992 0.250
Ni: 0.992 0.008 0.750
Te: 0.109 0.891 0.078
Te: 0.109 0.891 0.422
Te: 0.421 0.579 0.250
Te: 0.579 0.421 0.750
Te: 0.891 0.109 0.578
Te: 0.891 0.109 0.922